Entry 1:
PBE-GGA CsGe, relaxed; DOS at the Fermi energy = 4.586 states/eV/cell; calculated volume = 482.3 Å³/cell; VASP energy = -2.007 eV/atom; symmetry = Fm-3m, No. 225; mass density = 2.83 g/cm3
1.0
7.842 0.000 0.000
0.000 7.842 0.000
0.000 0.000 7.842
Cs Ge
4 4
direct
0.500 0.500 0.500
0.500 0.000 0.000
0.000 0.500 0.000
0.000 0.000 0.500
0.000 0.000 0.000
0.000 0.500 0.500
0.500 0.000 0.500
0.500 0.500 0.000

---

Entry 2:
PBE-GGA Cs3Ge4, relaxed; DOS at the Fermi energy = 1.644 states/eV/cell; calculated volume = 263.0 Å³/cell; VASP energy = -3.137 eV/atom; symmetry = Immm, No. 71; mass density = 4.35 g/cm3
1.0
-2.099 -3.370 -1.156
4.714 -1.773 -3.387
2.603 -2.673 10.459
Cs Ge
3 4
direct
0.500 0.000 0.000
0.185 0.185 0.370
0.815 0.815 0.630
0.060 0.560 0.119
0.940 0.440 0.881
0.626 0.626 0.253
0.374 0.374 0.747

---

Entry 3:
PBE-GGA CsGe2, relaxed; DOS at the Fermi energy = 4.405 states/eV/cell; calculated volume = 166.6 Å³/cell; VASP energy = -3.135 eV/atom; symmetry = Fd-3m, No. 227; mass density = 5.55 g/cm3
1.0
-1.295 3.816 -4.681
-3.984 -1.737 -4.388
-5.557 2.672 -0.359
Cs Ge
2 4
direct
0.000 0.000 0.000
0.250 0.250 0.250
0.125 0.625 0.625
0.625 0.125 0.625
0.625 0.625 0.625
0.625 0.625 0.125

---

Entry 4:
PBE-GGA CsGe6, relaxed; DOS at the Fermi energy = 2.442 states/eV/cell; calculated volume = 187.7 Å³/cell; VASP energy = -4.120 eV/atom; symmetry = Im-3m, No. 229; mass density = 5.03 g/cm3
1.0
6.247 0.000 0.000
-2.082 5.890 0.000
-2.082 -2.945 5.101
Cs Ge
1 6
direct
0.000 0.000 0.000
0.250 0.750 0.500
0.500 0.750 0.250
0.250 0.500 0.750
0.750 0.250 0.500
0.500 0.250 0.750
0.750 0.500 0.250

---

Entry 5:
PBE-GGA CsGe, relaxed; calculated volume = 1566.2 Å³/cell; VASP energy = -2.761 eV/atom; symmetry = Fddd, No. 70; mass density = 3.49 g/cm3
1.0
14.834 0.000 0.000
0.000 8.348 0.000
0.000 0.000 12.648
Cs Ge
16 16
direct
0.000 0.000 0.199
0.000 0.000 0.801
0.250 0.750 0.051
0.250 0.750 0.449
0.000 0.500 0.699
0.000 0.500 0.301
0.250 0.250 0.551
0.250 0.250 0.949
0.500 0.000 0.699
0.500 0.000 0.301
0.750 0.750 0.551
0.750 0.750 0.949
0.500 0.500 0.199
0.500 0.500 0.801
0.750 0.250 0.051
0.750 0.250 0.449
0.000 0.365 0.000
0.000 0.635 0.000
0.250 0.385 0.250
0.250 0.115 0.250
0.000 0.865 0.500
0.000 0.135 0.500
0.250 0.885 0.750
0.250 0.615 0.750
0.500 0.365 0.500
0.500 0.635 0.500
0.750 0.385 0.750
0.750 0.115 0.750
0.500 0.865 0.000
0.500 0.135 0.000
0.750 0.885 0.250
0.750 0.615 0.250

---

Entry 6:
PBE-GGA CsGe, relaxed; calculated volume = 1286.2 Å³/cell; VASP energy = -2.951 eV/atom; symmetry = I4_1/acd, No. 142; mass density = 4.25 g/cm3
1.0
12.551 -0.003 0.000
1.725 12.431 0.000
-7.138 -6.214 8.243
Cs Ge
16 16
direct
0.125 0.516 0.891
0.625 0.234 0.109
0.984 0.375 0.109
0.266 0.875 0.891
0.625 0.734 0.609
0.125 0.016 0.391
0.766 0.875 0.391
0.484 0.375 0.609
0.371 0.371 0.242
0.129 0.129 0.758
0.879 0.621 0.500
0.121 0.379 0.500
0.379 0.879 0.258
0.621 0.121 0.742
0.871 0.629 0.000
0.629 0.871 0.000
0.453 0.607 0.963
0.644 0.490 0.037
0.797 0.260 0.654
0.606 0.143 0.346
0.893 0.047 0.037
0.010 0.856 0.963
0.240 0.703 0.346
0.357 0.894 0.654
0.297 0.643 0.537
0.106 0.760 0.463
0.953 0.990 0.846
0.144 0.107 0.154
0.857 0.203 0.463
0.740 0.394 0.537
0.510 0.547 0.154
0.393 0.356 0.846

---

Entry 7:
PBE-GGA CsGeH4, relaxed; calculated volume = 224.0 Å³/cell; VASP energy = -3.143 eV/atom; symmetry = C2/m, No. 12; mass density = 3.11 g/cm3
1.0
0.367 -1.867 -4.912
4.311 -3.713 1.734
-7.382 -1.460 5.025
Cs Ge H
2 2 8
direct
0.949 0.855 0.710
0.051 0.145 0.290
0.346 0.590 0.180
0.654 0.410 0.820
0.224 0.657 0.315
0.398 0.153 0.701
0.000 0.323 0.000
0.602 0.453 0.299
0.776 0.343 0.685
0.602 0.847 0.299
0.000 0.677 0.000
0.398 0.547 0.701

---

Entry 8:
PBE-GGA Cs3Ge2H4, relaxed; DOS at the Fermi energy = 3.061 states/eV/cell; calculated volume = 632.6 Å³/cell; VASP energy = -2.940 eV/atom; symmetry = C2/c, No. 15; mass density = 2.88 g/cm3
1.0
-4.866 -8.174 -1.052
7.757 -4.967 2.707
-6.654 1.640 5.052
Cs Ge H
6 4 8
direct
0.169 0.777 0.675
0.331 0.102 0.325
0.831 0.223 0.325
0.669 0.898 0.675
0.750 0.564 0.000
0.250 0.436 0.000
0.513 0.483 0.334
0.987 0.148 0.666
0.487 0.517 0.666
0.013 0.852 0.334
0.439 0.721 0.797
0.061 0.925 0.203
0.561 0.279 0.203
0.939 0.075 0.797
0.680 0.518 0.330
0.820 0.189 0.670
0.320 0.482 0.670
0.180 0.811 0.330

---

Among the records above, which one has the highest calculated volume? number 5